# PBE-GGA AcReBi2O8, optimized geometry
data_AcReBi2O8
_cell_length_a 5.310
_cell_length_b 5.315
_cell_length_c 7.036
_cell_angle_alpha 88.62
_cell_angle_beta 88.75
_cell_angle_gamma 87.56
_symmetry_space_group_name_H-M 'P 1'
_symmetry_Int_Tables_number 1
_symmetry_space_group_name_Hall 'P 1'
loop_
_atom_site_label
_atom_site_fract_x
_atom_site_fract_y
_atom_site_fract_z
Ac1 0.000 0.000 0.000
Re1 0.000 0.000 0.500
Bi1 0.493 0.492 0.254
Bi2 0.507 0.508 0.746
O1 0.168 0.808 0.301
O2 0.195 0.834 0.700
O3 0.241 0.243 0.472
O4 0.321 0.323 0.013
O5 0.679 0.677 0.987
O6 0.759 0.757 0.528
O7 0.805 0.166 0.300
O8 0.832 0.192 0.699
# SG	P-1 (2)
# ΔE_f (raw)	-1.792	eV per atom

***

# PBE-GGA Ac2BiRhO5, optimized geometry
data_Ac2BiRhO5
_cell_length_a 7.150
_cell_length_b 7.150
_cell_length_c 5.817
_cell_angle_alpha 90.00
_cell_angle_beta 90.00
_cell_angle_gamma 90.00
_symmetry_space_group_name_H-M 'P 1'
_symmetry_Int_Tables_number 1
_symmetry_space_group_name_Hall 'P 1'
loop_
_atom_site_label
_atom_site_fract_x
_atom_site_fract_y
_atom_site_fract_z
Ac1 0.171 0.329 0.000
Ac2 0.329 0.829 0.000
Ac3 0.671 0.171 0.000
Ac4 0.829 0.671 0.000
Bi1 0.000 0.000 0.500
Bi2 0.500 0.500 0.500
Rh1 0.000 0.500 0.500
Rh2 0.500 0.000 0.500
O1 0.000 0.000 0.000
O2 0.144 0.644 0.261
O3 0.144 0.644 0.739
O4 0.356 0.144 0.261
O5 0.356 0.144 0.739
O6 0.500 0.500 0.000
O7 0.644 0.856 0.261
O8 0.644 0.856 0.739
O9 0.856 0.356 0.261
O10 0.856 0.356 0.739
# SG	P4/mbm (127)
# ΔE_f (raw)	-1.924	eV per atom

***

# PBE-GGA Ac3BiRhO, optimized geometry
data_Ac3BiRhO
_cell_length_a 9.461
_cell_length_b 4.440
_cell_length_c 9.784
_cell_angle_alpha 90.00
_cell_angle_beta 104.39
_cell_angle_gamma 90.00
_symmetry_space_group_name_H-M 'P 1'
_symmetry_Int_Tables_number 1
_symmetry_space_group_name_Hall 'P 1'
loop_
_atom_site_label
_atom_site_fract_x
_atom_site_fract_y
_atom_site_fract_z
Ac1 0.064 0.250 0.343
Ac2 0.326 0.250 0.974
Ac3 0.374 0.750 0.647
Ac4 0.626 0.250 0.353
Ac5 0.674 0.750 0.026
Ac6 0.936 0.750 0.657
Bi1 0.321 0.750 0.265
Bi2 0.679 0.250 0.735
Rh1 0.156 0.250 0.651
Rh2 0.844 0.750 0.349
O1 0.416 0.750 0.907
O2 0.584 0.250 0.093
# SG	P2_1/m (11)
# ΔE_f (raw)	-1.472	eV per atom

***

# PBE-GGA Ac2BiRhO8, optimized geometry
data_Ac2BiRhO8
_cell_length_a 4.511
_cell_length_b 7.269
_cell_length_c 5.564
_cell_angle_alpha 90.00
_cell_angle_beta 94.82
_cell_angle_gamma 90.00
_symmetry_space_group_name_H-M 'P 1'
_symmetry_Int_Tables_number 1
_symmetry_space_group_name_Hall 'P 1'
loop_
_atom_site_label
_atom_site_fract_x
_atom_site_fract_y
_atom_site_fract_z
Ac1 0.000 0.244 0.000
Ac2 0.000 0.756 0.000
Bi1 0.500 0.500 0.500
Rh1 0.500 0.000 0.500
O1 0.057 0.500 0.254
O2 0.081 0.000 0.397
O3 0.458 0.210 0.738
O4 0.458 0.790 0.738
O5 0.542 0.210 0.262
O6 0.542 0.790 0.262
O7 0.919 0.000 0.603
O8 0.943 0.500 0.746
# SG	P2/m (10)
# ΔE_f (raw)	-1.739	eV per atom

***

# PBE-GGA AcBi2RhO8, optimized geometry
data_AcBi2RhO8
_cell_length_a 5.080
_cell_length_b 7.011
_cell_length_c 5.117
_cell_angle_alpha 90.00
_cell_angle_beta 91.64
_cell_angle_gamma 90.00
_symmetry_space_group_name_H-M 'P 1'
_symmetry_Int_Tables_number 1
_symmetry_space_group_name_Hall 'P 1'
loop_
_atom_site_label
_atom_site_fract_x
_atom_site_fract_y
_atom_site_fract_z
Ac1 0.000 0.000 0.000
Bi1 0.500 0.262 0.500
Bi2 0.500 0.738 0.500
Rh1 0.000 0.500 0.000
O1 0.158 0.290 0.221
O2 0.158 0.710 0.221
O3 0.306 0.500 0.763
O4 0.373 0.000 0.710
O5 0.627 0.000 0.290
O6 0.694 0.500 0.237
O7 0.842 0.290 0.779
O8 0.842 0.710 0.779
# SG	P2/m (10)
# ΔE_f (raw)	-1.294	eV per atom

***

# PBE-GGA AcBi2RuO8, optimized geometry
data_AcBi2RuO8
_cell_length_a 5.275
_cell_length_b 7.002
_cell_length_c 5.288
_cell_angle_alpha 90.00
_cell_angle_beta 92.73
_cell_angle_gamma 90.00
_symmetry_space_group_name_H-M 'P 1'
_symmetry_Int_Tables_number 1
_symmetry_space_group_name_Hall 'P 1'
loop_
_atom_site_label
_atom_site_fract_x
_atom_site_fract_y
_atom_site_fract_z
Ac1 0.000 0.000 0.000
Bi1 0.500 0.253 0.500
Bi2 0.500 0.747 0.500
Ru1 0.000 0.500 0.000
O1 0.185 0.292 0.187
O2 0.185 0.708 0.187
O3 0.242 0.500 0.763
O4 0.328 0.000 0.676
O5 0.672 0.000 0.324
O6 0.758 0.500 0.237
O7 0.815 0.292 0.813
O8 0.815 0.708 0.813
# SG	P2/m (10)
# ΔE_f (raw)	-1.438	eV per atom

***

# PBE-GGA Ac2BiRuO8, optimized geometry
data_Ac2BiRuO8
_cell_length_a 5.095
_cell_length_b 5.297
_cell_length_c 7.131
_cell_angle_alpha 90.27
_cell_angle_beta 90.90
_cell_angle_gamma 91.93
_symmetry_space_group_name_H-M 'P 1'
_symmetry_Int_Tables_number 1
_symmetry_space_group_name_Hall 'P 1'
loop_
_atom_site_label
_atom_site_fract_x
_atom_site_fract_y
_atom_site_fract_z
Ac1 0.066 0.049 0.259
Ac2 0.934 0.951 0.741
Bi1 0.500 0.500 0.000
Ru1 0.500 0.500 0.500
O1 0.190 0.204 0.962
O2 0.229 0.267 0.546
O3 0.301 0.641 0.284
O4 0.374 0.721 0.710
O5 0.626 0.279 0.290
O6 0.699 0.359 0.716
O7 0.771 0.733 0.454
O8 0.810 0.796 0.038
# SG	P-1 (2)
# ΔE_f (raw)	-1.845	eV per atom

***

# PBE-GGA AcBi2SO4, optimized geometry
data_AcBi2SO4
_cell_length_a 4.005
_cell_length_b 4.005
_cell_length_c 9.425
_cell_angle_alpha 90.00
_cell_angle_beta 90.00
_cell_angle_gamma 90.00
_symmetry_space_group_name_H-M 'P 1'
_symmetry_Int_Tables_number 1
_symmetry_space_group_name_Hall 'P 1'
loop_
_atom_site_label
_atom_site_fract_x
_atom_site_fract_y
_atom_site_fract_z
Ac1 0.000 0.000 0.000
Bi1 0.500 0.500 0.287
Bi2 0.500 0.500 0.713
S1 0.000 0.000 0.500
O1 0.000 0.500 0.171
O2 0.000 0.500 0.829
O3 0.500 0.000 0.171
O4 0.500 0.000 0.829
# SG	P4/mmm (123)
# ΔE_f (raw)	-1.622	eV per atom

***

# PBE-GGA AcBiSO2, optimized geometry
data_AcBiSO2
_cell_length_a 6.927
_cell_length_b 6.927
_cell_length_c 7.500
_cell_angle_alpha 90.00
_cell_angle_beta 90.00
_cell_angle_gamma 146.00
_symmetry_space_group_name_H-M 'P 1'
_symmetry_Int_Tables_number 1
_symmetry_space_group_name_Hall 'P 1'
loop_
_atom_site_label
_atom_site_fract_x
_atom_site_fract_y
_atom_site_fract_z
Ac1 0.229 0.771 0.750
Ac2 0.771 0.229 0.250
Bi1 0.500 0.500 0.000
Bi2 0.500 0.500 0.500
S1 0.041 0.959 0.250
S2 0.959 0.041 0.750
O1 0.328 0.672 0.053
O2 0.328 0.672 0.447
O3 0.672 0.328 0.553
O4 0.672 0.328 0.947
# SG	Cmcm (63)
# ΔE_f (raw)	-1.959	eV per atom

***

# PBE-GGA AcBi2SbO8, optimized geometry
data_AcBi2SbO8
_cell_length_a 5.142
_cell_length_b 5.142
_cell_length_c 7.198
_cell_angle_alpha 90.00
_cell_angle_beta 90.00
_cell_angle_gamma 91.49
_symmetry_space_group_name_H-M 'P 1'
_symmetry_Int_Tables_number 1
_symmetry_space_group_name_Hall 'P 1'
loop_
_atom_site_label
_atom_site_fract_x
_atom_site_fract_y
_atom_site_fract_z
Ac1 0.000 0.000 0.000
Bi1 0.500 0.500 0.261
Bi2 0.500 0.500 0.739
Sb1 0.000 0.000 0.500
O1 0.187 0.187 0.292
O2 0.187 0.187 0.708
O3 0.285 0.715 0.500
O4 0.329 0.671 0.000
O5 0.671 0.329 0.000
O6 0.715 0.285 0.500
O7 0.813 0.813 0.292
O8 0.813 0.813 0.708
# SG	Cmmm (65)
# ΔE_f (raw)	-1.583	eV per atom